No. 1
Entry from the Alexandria database: a relaxed structure of CuTc2Rh (GGA-PBEsol).

abc: 2.612 2.612 8.809
angles: 90.00 90.00 115.49
Atoms (fractional coordinates):
Cu 0.000 0.000 0.000
Tc 0.000 0.000 0.499
Tc 0.500 0.500 0.251
Rh 0.500 0.500 0.754

## Properties
Its space-group type is Cmm2. The calculation puts the formation enthalpy at 0 K at 0.258 eV per atom. For the distance to the lowest polymorph of the same formula, the calculation gives 141 meV/atom.

***

No. 2
Entry from the Alexandria database: a relaxed structure of CuTc2Rh (GGA-PBEsol).

abc: 4.689 4.689 4.492
angles: 99.79 99.79 33.19
Atoms (fractional coordinates):
Cu 0.000 0.000 0.000
Tc 0.247 0.247 0.750
Tc 0.753 0.753 0.250
Rh 0.500 0.500 0.500

## Properties
Its space-group type is C2/m. The calculation puts the formation enthalpy at 0 K at 0.137 eV per atom. For the distance to the lowest polymorph of the same formula, the calculation gives 20 meV/atom.

***

No. 3
Entry from the Alexandria database: a relaxed structure of Cu2TcRh (GGA-PBEsol).

abc: 2.579 2.579 8.665
angles: 90.00 90.00 116.42
Atoms (fractional coordinates):
Cu 0.000 0.000 0.000
Cu 0.500 0.500 0.234
Tc 0.500 0.500 0.743
Rh 0.000 0.000 0.487

## Properties
Its space-group type is Cmm2. The calculation puts the formation enthalpy at 0 K at 0.225 eV per atom.

***

No. 4
Entry from the Alexandria database: a relaxed structure of CuTeRh (GGA-PBEsol).

abc: 3.886 3.886 4.004
angles: 90.00 90.00 120.00
Atoms (fractional coordinates):
Cu 0.000 0.000 0.000
Te 0.667 0.333 0.632
Rh 0.333 0.667 0.296

## Properties
Its space-group type is P3m1. For the raw formation energy, the calculation gives 0.190 eV per atom.

***

No. 5
Entry from the Alexandria database: a relaxed structure of CuTe2Rh (GGA-PBEsol).

abc: 4.775 4.775 4.775
angles: 60.00 60.00 60.00
Atoms (fractional coordinates):
Cu 0.000 0.000 0.000
Te 0.250 0.250 0.250
Te 0.500 0.500 0.500
Rh 0.750 0.750 0.750

## Properties
Its space-group type is F-43m. For the raw formation energy, the calculation gives 0.573 eV per atom.

***

No. 6
Entry from the Alexandria database: a relaxed structure of CuTe2Rh (GGA-PBEsol).

abc: 4.677 4.677 3.422
angles: 90.00 90.00 98.53
Atoms (fractional coordinates):
Cu 0.000 0.000 0.000
Te 0.000 0.500 0.500
Te 0.500 0.000 0.500
Rh 0.500 0.500 0.000

## Properties
Its space-group type is Cmmm. For the raw formation energy, the calculation gives 0.182 eV per atom.

***

No. 7
Entry from the Alexandria database: a relaxed structure of TlCu2Rh (GGA-PBEsol).

abc: 3.844 3.844 3.902
angles: 90.00 90.00 90.00
Atoms (fractional coordinates):
Tl 0.000 0.000 0.000
Cu 0.000 0.500 0.500
Cu 0.500 0.000 0.500
Rh 0.500 0.500 0.000

## Properties
Its space-group type is P4/mmm. The calculation puts the formation enthalpy at 0 K at 0.078 eV per atom. For the distance to the lowest polymorph of the same formula, the calculation gives 0 meV/atom.

***

No. 8
Entry from the Alexandria database: a relaxed structure of TlCu2Rh (GGA-PBEsol).

abc: 4.328 4.328 4.328
angles: 60.00 60.00 60.00
Atoms (fractional coordinates):
Tl 0.000 0.000 0.000
Cu 0.250 0.250 0.250
Cu 0.750 0.750 0.750
Rh 0.500 0.500 0.500

## Properties
Its space-group type is Fm-3m. The calculation puts the formation enthalpy at 0 K at 0.194 eV per atom. For the distance to the lowest polymorph of the same formula, the calculation gives 116 meV/atom.

***

No. 9
Entry from the Alexandria database: a relaxed structure of TlCu2Rh (GGA-PBEsol).

abc: 2.927 3.679 5.486
angles: 90.00 90.00 90.00
Atoms (fractional coordinates):
Tl 0.000 0.000 0.000
Cu 0.500 0.500 0.280
Cu 0.500 0.500 0.720
Rh 0.000 0.000 0.500

## Properties
Its space-group type is Pmmm. The calculation puts the formation enthalpy at 0 K at 0.214 eV per atom. For the distance to the lowest polymorph of the same formula, the calculation gives 136 meV/atom.

***

No. 10
Entry from the Alexandria database: a relaxed structure of TlCu2Rh (GGA-PBEsol).

abc: 8.430 8.430 8.430
angles: 19.91 19.91 19.91
Atoms (fractional coordinates):
Tl 0.000 0.000 0.000
Cu 0.498 0.498 0.498
Cu 0.758 0.758 0.758
Rh 0.243 0.243 0.243

## Properties
Its space-group type is R3m. The calculation puts the formation enthalpy at 0 K at 0.372 eV per atom. For the distance to the lowest polymorph of the same formula, the calculation gives 295 meV/atom.

***

No. 11
Entry from the Alexandria database: a relaxed structure of Cu2RhW (GGA-PBEsol).

abc: 4.301 4.301 2.806
angles: 90.00 90.00 90.00
Atoms (fractional coordinates):
Cu 0.000 0.500 0.000
Cu 0.500 0.000 0.000
Rh 0.000 0.000 0.500
W 0.500 0.500 0.500

## Properties
Its space-group type is P4/mmm. The calculation puts the formation enthalpy at 0 K at 0.366 eV per atom. For the distance to the lowest polymorph of the same formula, the calculation gives 130 meV/atom.

***

No. 12
Entry from the Alexandria database: a relaxed structure of Cu2RhW (GGA-PBEsol).

abc: 4.686 4.686 2.667
angles: 90.00 90.00 115.98
Atoms (fractional coordinates):
Cu 0.000 0.500 0.000
Cu 0.500 0.000 0.000
Rh 0.000 0.000 0.500
W 0.500 0.500 0.500

## Properties
Its space-group type is Cmmm. The calculation puts the formation enthalpy at 0 K at 0.249 eV per atom. For the distance to the lowest polymorph of the same formula, the calculation gives 13 meV/atom.

***

No. 13
Entry from the Alexandria database: a relaxed structure of Cu2RhW (GGA-PBEsol).

abc: 5.106 5.106 2.632
angles: 102.67 102.67 119.99
Atoms (fractional coordinates):
Cu 0.000 0.500 0.000
Cu 0.500 0.000 0.000
Rh 0.000 0.000 0.500
W 0.500 0.500 0.500

## Properties
Its space-group type is C2/m. The calculation puts the formation enthalpy at 0 K at 0.270 eV per atom. For the distance to the lowest polymorph of the same formula, the calculation gives 35 meV/atom.

***

No. 14
Entry from the Alexandria database: a relaxed structure of Cu2RhW (GGA-PBEsol).

abc: 4.210 4.210 4.210
angles: 60.00 60.00 60.00
Atoms (fractional coordinates):
Cu 0.000 0.000 0.000
Cu 0.250 0.250 0.250
Rh 0.750 0.750 0.750
W 0.500 0.500 0.500

## Properties
Its space-group type is F-43m. The calculation puts the formation enthalpy at 0 K at 0.236 eV per atom. For the distance to the lowest polymorph of the same formula, the calculation gives 0 meV/atom.

***

No. 15
Entry from the Alexandria database: a relaxed structure of YCuRh (GGA-PBEsol).

abc: 5.084 5.084 5.084
angles: 141.33 141.33 55.85
Atoms (fractional coordinates):
Y 0.000 0.000 0.000
Cu 0.688 0.688 0.000
Rh 0.320 0.320 0.000

## Properties
Its space-group type is I4mm. The calculation puts the formation enthalpy at 0 K at -0.348 eV per atom.

***

No. 16
Entry from the Alexandria database: a relaxed structure of YCu2Rh (GGA-PBEsol).

abc: 3.171 3.658 5.357
angles: 90.00 90.00 90.00
Atoms (fractional coordinates):
Y 0.000 0.000 0.000
Cu 0.500 0.500 0.278
Cu 0.500 0.500 0.722
Rh 0.000 0.000 0.500

## Properties
Its space-group type is Pmmm. The calculation puts the formation enthalpy at 0 K at -0.168 eV per atom. For the distance to the lowest polymorph of the same formula, the calculation gives 164 meV/atom.

***

No. 17
Entry from the Alexandria database: a relaxed structure of YCu2Rh (GGA-PBEsol).

abc: 4.946 4.946 4.946
angles: 134.42 134.42 66.43
Atoms (fractional coordinates):
Y 0.000 0.000 0.000
Cu 0.250 0.750 0.500
Cu 0.750 0.250 0.500
Rh 0.500 0.500 0.000

## Properties
Its space-group type is I4/mmm. The calculation puts the formation enthalpy at 0 K at -0.332 eV per atom. For the distance to the lowest polymorph of the same formula, the calculation gives 0 meV/atom.

***

No. 18
Entry from the Alexandria database: a relaxed structure of YCu2Rh (GGA-PBEsol).

abc: 3.869 3.869 4.077
angles: 90.00 90.00 90.00
Atoms (fractional coordinates):
Y 0.000 0.000 0.000
Cu 0.000 0.500 0.500
Cu 0.500 0.000 0.500
Rh 0.500 0.500 0.000

## Properties
Its space-group type is P4/mmm. The calculation puts the formation enthalpy at 0 K at -0.312 eV per atom. For the distance to the lowest polymorph of the same formula, the calculation gives 19 meV/atom.

***

No. 19
Entry from the Alexandria database: a relaxed structure of YCuRh (GGA-PBEsol).

abc: 4.239 4.239 3.451
angles: 90.00 90.00 120.00
Atoms (fractional coordinates):
Y 0.000 0.000 0.000
Cu 0.333 0.667 0.500
Rh 0.667 0.333 0.500

## Properties
Its space-group type is P-6m2. The calculation puts the formation enthalpy at 0 K at -0.422 eV per atom.

***

No. 20
Entry from the Alexandria database: a relaxed structure of Y2CuRh2 (GGA-PBEsol).

abc: 6.886 6.886 3.961
angles: 90.00 90.00 90.00
Atoms (fractional coordinates):
Y 0.172 0.328 0.000
Y 0.328 0.828 0.000
Y 0.672 0.172 0.000
Y 0.828 0.672 0.000
Cu 0.000 0.000 0.500
Cu 0.500 0.500 0.500
Rh 0.138 0.638 0.500
Rh 0.362 0.138 0.500
Rh 0.638 0.862 0.500
Rh 0.862 0.362 0.500

## Properties
Its space-group type is P4/mbm. The calculation puts the formation enthalpy at 0 K at -0.545 eV per atom.